VASP calculation (PBE+U) on a geometry-optimized TaMnTeF2 structure.

The structure in CIF format:
```
data_TaMnTeF2
_chemical_formula_sum 'Ta1 Mn1 Te1 F2'
_space_group_name_H-M_alt 'P 4/m m m'
_space_group_IT_number 123
_space_group_name_Hall '-P 4 2'
_cell_length_a 4.0664
_cell_length_b 4.0664
_cell_length_c 5.8957
_cell_angle_alpha 90.00
_cell_angle_beta 90.00
_cell_angle_gamma 90.00
loop_
_atom_site_label
_atom_site_type_symbol
_atom_site_fract_x
_atom_site_fract_y
_atom_site_fract_z
_atom_site_occupancy
Ta1 Ta 0.0000 0.0000 0.0000 1
Mn1 Mn 0.0000 0.0000 0.5000 1
Te1 Te 0.5000 0.5000 0.5000 1
F1 F 0.0000 0.5000 0.0000 1
```

Properties
size of the total moment = 3.1 μB per cell
final energy = -31.8 eV for the cell shown